# 1
KB2RuN | Alexandria | PBE | relaxed; formation energy from raw total energies = 4.53 eV per formula unit; calculated volume = 70.8 Å³/f.u.; M_tot = 0.00 μB/atom
1.0
4.207 0.000 0.000
0.000 4.002 0.000
0.000 0.000 4.207
N K B Ru
1 1 2 1
direct
0.000 0.500 0.000
0.500 0.500 0.500
0.500 0.000 0.000
0.000 0.000 0.500
0.000 0.000 0.000



# 2
KBS2N | Alexandria | PBE | relaxed; formation energy from raw total energies = 12.51 eV per formula unit; calculated volume = 170.1 Å³/f.u.; M_tot = 1.00 μB/atom
1.0
5.771 0.000 0.000
0.000 5.771 0.000
0.000 0.000 5.106
S B N K
2 1 1 1
direct
0.000 0.500 0.000
0.500 0.000 0.000
0.500 0.500 0.500
0.000 0.000 0.500
0.000 0.000 0.000